This record from Alexandria via LeMat-Bulk describes Ba2WF after structural relaxation. The functional is PBE+U.

a = 8.1263 Å, b = 8.1263 Å, c = 7.2819 Å
α = 56.08°, β = 56.08°, γ = 90.00°
Positions (direct):
W1 0.7500 0.2500 0.5000
W2 0.0000 0.0000 0.0000
Ba1 0.2140 0.6250 0.2500
Ba2 0.5360 0.1250 0.2500
Ba3 0.3750 0.4640 0.7500
Ba4 0.8750 0.7860 0.7500
F1 0.5000 0.5000 0.0000
F2 0.2500 0.7500 0.5000

Energy relative to the lowest polymorph listed for this composition   0 meV per atom